# LiCa6N2

A relaxed structure of LiCa6N2 (PBE, Alexandria via LeMat-Bulk).

Output
* energy relative to the elements, uncorrected: -0.3812 eV per atom
* density of states at the Fermi level: 9.68 states/eV/cell

abc: 13.9889 4.1408 9.7392
angles: 90.00 98.22 90.00
Space group C2/m (No. 12)
One atom of each set of equivalent atoms:
Li 0.0000 0.0000 0.0000 [2 per cell]
Ca 0.0948 0.0000 0.7145 [4 per cell]
Ca 0.1731 0.5000 0.1231 [4 per cell]
Ca 0.1893 0.0000 0.4014 [4 per cell]
N 0.2427 0.0000 0.6548 [4 per cell]